Entry from Alexandria via LeMat-Bulk: crystalline NaNdZnF6 at its relaxed geometry (PBE-GGA).

```
18
Lattice="5.8367 0.0000 0.0000 -2.9183 5.0547 0.0000 0.0000 0.0000 9.3310" Properties=species:S:1:pos:R:3 pbc="T T T"
Na 0.0000 0.0000 0.0000
Na 0.0000 0.0000 4.6655
Nd 0.0000 3.3698 2.3327
Nd 2.9183 1.6849 6.9982
Zn 0.0000 3.3698 6.9982
Zn 2.9183 1.6849 2.3327
F -0.8943 1.8505 5.9008
F -1.7629 3.3550 8.0957
F 0.8943 1.8505 8.0957
F -0.8686 4.9039 5.9008
F 2.0497 0.1508 1.2353
F 1.1555 1.6997 3.4302
F 1.7629 3.3550 5.9008
F 0.8686 4.9039 8.0957
F 3.7869 0.1508 3.4302
F 2.0241 3.2042 1.2353
F 4.6812 1.6997 1.2353
F 3.8126 3.2042 3.4302
```

Results
ΔE_f (raw) in eV per atom: -3.13
Total magnetic moment in μB/cell: 0.00
Calculated density in g/cm3: 4.18